{
  "formula": "SrTbCuTe3",
  "functional": "PBE",
  "state": "optimized geometry",
  "spacegroup": "C2/m (12)",
  "e_tot_ev_per_cell": -52.35,
  "lattice": [[9.9481, -2.1920, 0.0000], [9.9481, 2.1920, 0.0000], [-1.8488, 0.0000, 8.5360]],
  "species": ["Cu", "Cu", "Sr", "Sr", "Tb", "Tb", "Te", "Te", "Te", "Te", "Te", "Te"],
  "fractional_positions": [[0.5446, 0.5446, 0.2078], [0.4554, 0.4554, 0.7922], [0.8773, 0.8773, 0.4305], [0.1227, 0.1227, 0.5695], [0.1605, 0.1605, 0.0839], [0.8395, 0.8395, 0.9161], [0.0000, 0.0000, 0.0000], [0.3225, 0.3225, 0.1497], [0.6767, 0.6767, 0.3336], [0.5000, 0.5000, 0.5000], [0.3233, 0.3233, 0.6664], [0.6775, 0.6775, 0.8503]]
}

=====

{
  "formula": "YFeCuTe",
  "functional": "PBE",
  "state": "optimized geometry",
  "spacegroup": "F-43m (216)",
  "e_above_lowest_polymorph_ev_per_atom": 0.157,
  "lattice": [[-3.0841, -3.6368, 0.8644], [-3.3896, 0.4615, 3.4326], [-4.6642, 0.4311, -1.2428]],
  "species": ["Cu", "Fe", "Te", "Y"],
  "fractional_positions": [[0.7500, 0.7500, 0.7500], [0.0000, 0.0000, 0.0000], [0.5000, 0.5000, 0.5000], [0.2500, 0.2500, 0.2500]]
}

=====

{
  "formula": "Pm2Pb",
  "functional": "PBE",
  "state": "optimized geometry",
  "spacegroup": "Fd-3m (227)",
  "e_above_lowest_polymorph_ev_per_atom": 1.285,
  "lattice": [[4.8606, 2.8063, 7.9373], [-4.8606, 2.8063, 7.9373], [0.0000, -5.6126, 7.9373]],
  "species": ["Pb", "Pb", "Pm", "Pm", "Pm", "Pm"],
  "fractional_positions": [[0.2500, 0.2500, 0.2500], [0.5000, 0.5000, 0.5000], [0.8750, 0.3750, 0.3750], [0.3750, 0.8750, 0.3750], [0.3750, 0.3750, 0.3750], [0.3750, 0.3750, 0.8750]]
}

=====

{
  "formula": "LuFeTcBi",
  "functional": "PBE",
  "state": "optimized geometry",
  "spacegroup": "F-43m (216)",
  "e_above_lowest_polymorph_ev_per_atom": 0.204,
  "lattice": [[0.0000, 3.3565, 3.3565], [3.3565, 0.0000, 3.3565], [3.3565, 3.3565, 0.0000]],
  "species": ["Bi", "Fe", "Lu", "Tc"],
  "fractional_positions": [[0.0000, 0.0000, 0.0000], [0.7500, 0.7500, 0.7500], [0.2500, 0.2500, 0.2500], [0.5000, 0.5000, 0.5000]]
}

=====

{
  "formula": "YCdAg2",
  "functional": "PBE",
  "state": "optimized geometry",
  "spacegroup": "Pmmn (59)",
  "e_tot_ev_per_cell": -56.97,
  "lattice": [[6.6806, 0.0000, 0.0000], [0.0000, 5.0436, 0.0000], [0.0000, 0.0000, 10.1704]],
  "species": ["Ag", "Ag", "Ag", "Ag", "Ag", "Ag", "Ag", "Ag", "Cd", "Cd", "Cd", "Cd", "Y", "Y", "Y", "Y"],
  "fractional_positions": [[0.9969, 0.7500, 0.1556], [0.5030, 0.7500, 0.1556], [0.0030, 0.2500, 0.3444], [0.4969, 0.2500, 0.3444], [0.5031, 0.7500, 0.6556], [0.9970, 0.7500, 0.6556], [0.4970, 0.2500, 0.8444], [0.0031, 0.2500, 0.8444], [0.2500, 0.2500, 0.1057], [0.7500, 0.7500, 0.3943], [0.2500, 0.2500, 0.6057], [0.7500, 0.7500, 0.8943], [0.7500, 0.2500, 0.0945], [0.2500, 0.7500, 0.4055], [0.7500, 0.2500, 0.5945], [0.2500, 0.7500, 0.9055]]
}

=====

{
  "formula": "TmScAl4",
  "functional": "PBE",
  "state": "optimized geometry",
  "spacegroup": "Amm2 (38)",
  "e_tot_ev_per_cell": -28.20,
  "lattice": [[4.2483, 0.0000, 0.0000], [0.0000, 2.1094, 6.4529], [0.0000, -2.1094, 6.4529]],
  "species": ["Al", "Al", "Al", "Al", "Sc", "Tm"],
  "fractional_positions": [[0.0000, 0.0051, 0.0051], [0.5000, 0.1664, 0.1664], [0.5000, 0.5035, 0.5035], [0.5000, 0.8262, 0.8262], [0.0000, 0.6548, 0.6548], [0.0000, 0.3439, 0.3439]]
}

=====

{
  "formula": "Rb2IrCl6",
  "functional": "PBE",
  "state": "optimized geometry",
  "spacegroup": "P-3m1 (164)",
  "e_tot_ev_per_cell": -32.26,
  "lattice": [[6.9492, 0.0000, 0.0000], [-3.4746, 6.0182, 0.0000], [0.0000, 0.0000, 5.8730]],
  "species": ["Cl", "Cl", "Cl", "Cl", "Cl", "Cl", "Ir", "Rb", "Rb"],
  "fractional_positions": [[0.1602, 0.3203, 0.2724], [0.1602, 0.8398, 0.2724], [0.6797, 0.8398, 0.2724], [0.3203, 0.1602, 0.7276], [0.8398, 0.1602, 0.7276], [0.8398, 0.6797, 0.7276], [0.0000, 0.0000, 0.5000], [0.6667, 0.3333, 0.2493], [0.3333, 0.6667, 0.7507]]
}

=====

{
  "formula": "CoPb",
  "functional": "PBE",
  "state": "optimized geometry",
  "spacegroup": "Pmma (51)",
  "e_tot_ev_per_cell": -19.34,
  "lattice": [[-0.8764, -4.5109, -1.6578], [2.7023, 0.1706, -1.8930], [2.4505, -1.7052, 3.3444]],
  "species": ["Co", "Co", "Pb", "Pb"],
  "fractional_positions": [[0.2500, 0.0000, 0.2515], [0.7500, 0.0000, 0.7485], [0.7500, 0.5000, 0.2495], [0.2500, 0.5000, 0.7505]]
}

=====

{
  "formula": "TbErIn2Pt4",
  "functional": "PBE",
  "state": "optimized geometry",
  "spacegroup": "P-6m2 (187)",
  "e_tot_ev_per_cell": -46.65,
  "lattice": [[-1.5717, -4.0239, -1.4984], [1.9587, 0.2983, 4.1209], [-8.0310, 1.7629, 3.6895]],
  "species": ["Er", "In", "In", "Pt", "Pt", "Pt", "Pt", "Tb"],
  "fractional_positions": [[0.0000, 0.0000, 0.0000], [0.6667, 0.3333, 0.2488], [0.6667, 0.3333, 0.7512], [0.3333, 0.6667, 0.1566], [0.0000, 0.0000, 0.3403], [0.0000, 0.0000, 0.6597], [0.3333, 0.6667, 0.8434], [0.3333, 0.6667, 0.5000]]
}

=====

{
  "formula": "YBeAlFe",
  "functional": "PBE",
  "state": "optimized geometry",
  "spacegroup": "F-43m (216)",
  "e_above_lowest_polymorph_ev_per_atom": 0.000,
  "lattice": [[-1.9331, 0.3728, 4.0011], [-3.3184, 2.9156, 0.6100], [-4.1689, -1.4617, 0.6069]],
  "species": ["Al", "Be", "Fe", "Y"],
  "fractional_positions": [[0.0000, 0.0000, 0.0000], [0.2500, 0.2500, 0.2500], [0.7500, 0.7500, 0.7500], [0.5000, 0.5000, 0.5000]]
}

=====

{
  "formula": "HfAl6Cu6",
  "functional": "PBE",
  "state": "optimized geometry",
  "spacegroup": "Immm (71)",
  "e_tot_ev_per_cell": -58.69,
  "lattice": [[1.5227, 1.7161, 6.1007], [-6.4176, -0.7416, 0.8640], [4.9590, -4.0504, -1.2187]],
  "species": ["Al", "Al", "Al", "Al", "Al", "Al", "Cu", "Cu", "Cu", "Cu", "Cu", "Cu", "Hf"],
  "fractional_positions": [[0.3433, 0.3433, 0.0000], [0.6567, 0.6567, 0.0000], [0.3440, 0.0000, 0.3440], [0.8172, 0.3172, 0.5000], [0.1828, 0.6828, 0.5000], [0.6560, 0.0000, 0.6560], [0.5000, 0.0000, 0.0000], [0.0000, 0.5000, 0.0000], [0.7644, 0.5000, 0.2644], [0.0000, 0.0000, 0.5000], [0.5000, 0.5000, 0.5000], [0.2356, 0.5000, 0.7356], [0.0000, 0.0000, 0.0000]]
}

=====

{
  "formula": "PrTlCdS3",
  "functional": "PBE",
  "state": "optimized geometry",
  "spacegroup": "Pnma (62)",
  "e_above_lowest_polymorph_ev_per_atom": 0.053,
  "lattice": [[8.1935, 0.0000, 0.0000], [0.0000, 4.3953, 0.0000], [0.0000, 0.0000, 16.6156]],
  "species": ["Cd", "Cd", "Cd", "Cd", "Pr", "Pr", "Pr", "Pr", "S", "S", "S", "S", "S", "S", "S", "S", "S", "S", "S", "S", "Tl", "Tl", "Tl", "Tl"],
  "fractional_positions": [[0.8827, 0.7500, 0.1471], [0.3827, 0.7500, 0.3529], [0.6173, 0.2500, 0.6471], [0.1173, 0.2500, 0.8529], [0.2634, 0.7500, 0.0419], [0.7634, 0.7500, 0.4581], [0.2366, 0.2500, 0.5419], [0.7366, 0.2500, 0.9581], [0.6246, 0.7500, 0.0514], [0.0039, 0.2500, 0.0837], [0.2806, 0.7500, 0.2097], [0.7806, 0.7500, 0.2903], [0.5039, 0.2500, 0.4163], [0.1246, 0.7500, 0.4486], [0.8754, 0.2500, 0.5514], [0.4961, 0.7500, 0.5837], [0.2194, 0.2500, 0.7097], [0.7194, 0.2500, 0.7903], [0.9961, 0.7500, 0.9163], [0.3754, 0.2500, 0.9486], [0.5569, 0.2500, 0.2053], [0.0569, 0.2500, 0.2947], [0.9431, 0.7500, 0.7053], [0.4431, 0.7500, 0.7947]]
}